--- i ---
KNd2Cl8: optimized geometry, GGA-PBE.

Values from the calculation:
The value obtained for the density is 2.6 g/cm3.

a = 8.0212 Å, b = 7.2538 Å, c = 7.2538 Å
α = 72.66°, β = 79.30°, γ = 79.30°
Closest atoms and distances in Å follow each position.
Atoms (fractional coordinates):
K: 0.0000 0.0000 0.0000  6 Cl 3.16-3.25
Nd: 0.4598 0.3228 0.3228  7 Cl 2.74-2.86
Nd: 0.5402 0.6772 0.6772  7 Cl 2.74-2.86
Cl: 0.3189 0.6487 0.0391  2 Nd 2.84-2.86
Cl: 0.6811 0.9609 0.3513  2 Nd 2.84-2.86
Cl: 0.2087 0.1988 0.1988  1 Nd 2.74
Cl: 0.7913 0.8012 0.8012  1 Nd 2.74
Cl: 0.3189 0.0391 0.6487  2 Nd 2.84-2.86
Cl: 0.6811 0.3513 0.9609  2 Nd 2.84-2.86
Cl: 0.7205 0.4436 0.4436  2 Nd 2.78
Cl: 0.2795 0.5564 0.5564  2 Nd 2.78


--- ii ---
KNd2Cl8: optimized geometry, GGA-PBE.

Values from the calculation:
The value obtained for the density is 3.2 g/cm3.

a = 5.3465 Å, b = 8.1469 Å, c = 8.1469 Å
α = 115.55°, β = 90.03°, γ = 90.03°
Closest atoms and distances in Å follow each position.
Atoms (fractional coordinates):
K: 0.5000 0.0000 0.0000  10 Cl 3.51-3.66
Nd: 0.0000 0.3025 0.6975  8 Cl 2.75-3.04
Nd: 0.0000 0.6975 0.3025  8 Cl 2.75-3.04
Cl: 0.9992 0.9415 0.6735  2 Nd 2.81-2.86
Cl: 0.9992 0.6735 0.9415  2 Nd 2.81-2.86
Cl: 0.2538 0.5003 0.5003  2 Cl 2.63-2.71
Cl: 0.5000 0.7451 0.2549  2 Nd 2.75
Cl: 0.5000 0.2549 0.7451  2 Nd 2.75
Cl: 0.7462 0.4997 0.4997  2 Cl 2.63-2.71
Cl: 0.0008 0.3265 0.0585  2 Nd 2.81-2.86
Cl: 0.0008 0.0585 0.3265  2 Nd 2.81-2.86


Which is the most stable structure? ii is the most stable.


--- i ---
K3NiCl6: optimized geometry, GGA-PBE.

Values from the calculation:
The value obtained for the density is 2.1 g/cm3.

a = 8.5032 Å, b = 8.5032 Å, c = 8.5032 Å
α = 90.57°, β = 90.57°, γ = 90.57°
Closest atoms and distances in Å follow each position.
Atoms (fractional coordinates):
K: 0.4346 0.9271 0.7539  6 Cl 3.10-3.18
K: 0.9271 0.7539 0.4346  6 Cl 3.10-3.18
K: 0.2461 0.5654 0.0729  6 Cl 3.10-3.18
K: 0.7539 0.4346 0.9271  6 Cl 3.10-3.18
K: 0.0729 0.2461 0.5654  6 Cl 3.10-3.18
K: 0.5654 0.0729 0.2461  6 Cl 3.10-3.18
Ni: 0.0000 0.0000 0.0000  6 Cl 2.34
Ni: 0.5000 0.5000 0.5000  6 Cl 2.34
Cl: 0.2558 0.9399 0.0797  1 Ni 2.34
Cl: 0.0601 0.9203 0.7442  1 Ni 2.34
Cl: 0.5596 0.7646 0.4521  1 Ni 2.34
Cl: 0.9203 0.7442 0.0601  1 Ni 2.34
Cl: 0.4521 0.5596 0.7646  1 Ni 2.34
Cl: 0.2354 0.5479 0.4404  1 Ni 2.34
Cl: 0.7646 0.4521 0.5596  1 Ni 2.34
Cl: 0.5479 0.4404 0.2354  1 Ni 2.34
Cl: 0.0797 0.2558 0.9399  1 Ni 2.34
Cl: 0.4404 0.2354 0.5479  1 Ni 2.34
Cl: 0.9399 0.0797 0.2558  1 Ni 2.34
Cl: 0.7442 0.0601 0.9203  1 Ni 2.34


--- ii ---
K3NiCl6: optimized geometry, GGA-PBE.

Values from the calculation:
The value obtained for the density is 2.3 g/cm3.

a = 7.1062 Å, b = 7.1062 Å, c = 11.2253 Å
α = 90.00°, β = 90.00°, γ = 90.00°
Closest atoms and distances in Å follow each position.
Atoms (fractional coordinates):
K: 0.0000 0.5000 0.2500  8 Cl 3.27-3.56
K: 0.0000 0.5000 0.7500  8 Cl 3.27-3.56
K: 0.5000 0.0000 0.2500  8 Cl 3.27-3.56
K: 0.5000 0.0000 0.7500  8 Cl 3.27-3.56
K: 0.0000 0.0000 0.5000  6 Cl 3.05-3.11
K: 0.5000 0.5000 0.0000  6 Cl 3.05-3.11
Ni: 0.0000 0.0000 0.0000  4 Cl 2.23
Ni: 0.5000 0.5000 0.5000  4 Cl 2.23
Cl: 0.1139 0.2930 0.0000  1 Ni 2.23
Cl: 0.8861 0.7070 0.0000  1 Ni 2.23
Cl: 0.7070 0.1139 0.0000  1 Ni 2.23
Cl: 0.3861 0.7930 0.5000  1 Ni 2.23
Cl: 0.2930 0.8861 0.0000  1 Ni 2.23
Cl: 0.6139 0.2070 0.5000  1 Ni 2.23
Cl: 0.7930 0.6139 0.5000  1 Ni 2.23
Cl: 0.2070 0.3861 0.5000  1 Ni 2.23
Cl: 0.0000 0.0000 0.2287  1 Ni 2.57
Cl: 0.0000 0.0000 0.7713  1 Ni 2.57
Cl: 0.5000 0.5000 0.2713  1 Ni 2.57
Cl: 0.5000 0.5000 0.7287  1 Ni 2.57


Which is the most stable structure? ii is the most stable.


--- i ---
KNiS2Cl: optimized geometry, GGA-PBE.

Values from the calculation:
The value obtained for the density is 1.8 g/cm3.

a = 5.6707 Å, b = 5.6707 Å, c = 5.5262 Å
α = 90.00°, β = 90.00°, γ = 90.00°
Closest atoms and distances in Å follow each position.
Atoms (fractional coordinates):
Ni: 0.5000 0.5000 0.5000  8 S 3.96, 4 Cl 4.01
K: 0.0000 0.0000 0.0000  2 Cl 2.76, 4 S 2.84
S: 0.0000 0.5000 0.0000  2 K 2.84
S: 0.5000 0.0000 0.0000  2 K 2.84
Cl: 0.0000 0.0000 0.5000  2 K 2.76


--- ii ---
KNiS2Cl: optimized geometry, GGA-PBE.

Values from the calculation:
The value obtained for the density is 2.7 g/cm3.

a = 4.3570 Å, b = 4.3570 Å, c = 6.3198 Å
α = 90.00°, β = 90.00°, γ = 90.00°
Closest atoms and distances in Å follow each position.
Atoms (fractional coordinates):
Ni: 0.0000 0.0000 0.0000  4 S 2.18
K: 0.5000 0.5000 0.5000  4 Cl 3.08
S: 0.0000 0.5000 0.0000  2 Ni 2.18
S: 0.5000 0.0000 0.0000  2 Ni 2.18
Cl: 0.0000 0.0000 0.5000  4 K 3.08, 2 Ni 3.16


Which is the most stable structure? ii is the most stable.


--- i ---
KNiSCl2: optimized geometry, GGA-PBE.

Values from the calculation:
The value obtained for the density is 1.8 g/cm3.

a = 5.6850 Å, b = 5.6850 Å, c = 5.6673 Å
α = 90.00°, β = 90.00°, γ = 90.00°
Closest atoms and distances in Å follow each position.
Atoms (fractional coordinates):
Ni: 0.5000 0.5000 0.5000  8 Cl 4.01, 4 S 4.02
K: 0.0000 0.0000 0.0000  2 S 2.83, 4 Cl 2.84
S: 0.0000 0.0000 0.5000  2 K 2.83
Cl: 0.0000 0.5000 0.0000  2 K 2.84
Cl: 0.5000 0.0000 0.0000  2 K 2.84


--- ii ---
KNiSCl2: optimized geometry, GGA-PBE.

Values from the calculation:
The value obtained for the density is 3.0 g/cm3.

a = 5.0621 Å, b = 5.0621 Å, c = 4.3403 Å
α = 90.00°, β = 90.00°, γ = 90.00°
Closest atoms and distances in Å follow each position.
Atoms (fractional coordinates):
Ni: 0.0000 0.0000 0.0000  2 S 2.17
K: 0.5000 0.5000 0.5000  8 Cl 3.33, 4 S 3.58
S: 0.0000 0.0000 0.5000  2 Ni 2.17
Cl: 0.0000 0.5000 0.0000  2 Ni 2.53
Cl: 0.5000 0.0000 0.0000  2 Ni 2.53


Which is the most stable structure? ii is the most stable.